i.
Compound: LiDy2Sn
Source: the Alexandria database
Functional: PBE
Structure: optimized geometry

```
data_LiDy2Sn
_chemical_formula_sum 'Li4 Dy8 Sn4'
_cell_length_a 7.3697
_cell_length_b 7.3697
_cell_length_c 7.3697
_cell_angle_alpha 90.00
_cell_angle_beta 90.00
_cell_angle_gamma 90.00
_space_group_name_H-M_alt 'F m -3 m'
_space_group_IT_number 225
_space_group_name_Hall '-F 4 2 3'
loop_
_atom_site_label
_atom_site_type_symbol
_atom_site_fract_x
_atom_site_fract_y
_atom_site_fract_z
_atom_site_occupancy
Li1 Li 0.0000 0.0000 0.0000 1
Dy1 Dy 0.2500 0.2500 0.2500 1
Sn1 Sn 0.0000 0.0000 0.5000 1
```

---

ii.
Compound: LiDy2Sn
Source: the Alexandria database
Functional: PBE
Structure: optimized geometry

```
data_LiDy2Sn
_chemical_formula_sum 'Li3 Dy6 Sn3'
_cell_length_a 3.4173
_cell_length_b 3.4173
_cell_length_c 34.5598
_cell_angle_alpha 90.00
_cell_angle_beta 90.00
_cell_angle_gamma 120.00
_space_group_name_H-M_alt 'R -3 m'
_space_group_IT_number 166
_space_group_name_Hall '-R 3 2"'
loop_
_atom_site_label
_atom_site_type_symbol
_atom_site_fract_x
_atom_site_fract_y
_atom_site_fract_z
_atom_site_occupancy
Li1 Li 0.0000 0.0000 0.0000 1
Dy1 Dy 0.0000 0.0000 0.4102 1
Sn1 Sn 0.0000 0.0000 0.5000 1
```

---

On energetic grounds, i is preferred over the next structure by 566 meV/atom.